(1)
Hg2IrCl PBE-GGA optimized geometry; formation energy from raw total energies = 71 kJ per mole of atoms; D(E_F) = 0.74 states/eV/cell; magnetic moment = 0.0 μB per formula unit
1.0
0.000 3.432 3.432
3.432 0.000 3.432
3.432 3.432 0.000
Cl Ir Hg
1 1 2
Cartesian
0.000 0.000 0.000
3.432 3.432 3.432
1.716 1.716 1.716
5.147 5.147 5.147

(2)
La4DyGa5 PBE-GGA optimized geometry; D(E_F) = 6.51 states/eV/cell; magnetic moment = 0.0 μB per formula unit; ΔH_f (0 K) = -573 meV/atom
1.0
3.716 0.000 0.000
0.000 3.716 0.000
0.000 0.000 18.818
La Ga Dy
4 5 1
Cartesian
0.000 0.000 7.486
0.000 0.000 15.185
0.000 0.000 3.633
0.000 0.000 11.332
1.858 1.858 9.409
1.858 1.858 1.633
1.858 1.858 5.558
1.858 1.858 13.260
1.858 1.858 17.185
0.000 0.000 0.000

(3)
Mg2PW PBE-GGA optimized geometry; D(E_F) = 2.29 states/eV/cell; magnetic moment = 0.0 μB per formula unit; ΔH_f (0 K) = -69 meV/atom
1.0
-1.842 0.891 -2.407
-2.565 -0.751 1.685
-0.222 6.695 2.646
W Mg P
1 2 1
Cartesian
-2.357 4.718 1.476
-2.268 2.033 0.415
-0.214 6.455 2.551
-0.121 3.671 1.451

(4)
LaCeNd2 PBE-GGA optimized geometry; D(E_F) = 12.80 states/eV/cell; magnetic moment = 2.4 μB per formula unit; ΔH_f (0 K) = 205 meV/atom
1.0
-4.142 3.164 2.625
-2.298 -1.814 5.049
1.203 2.854 4.946
La Nd Ce
1 2 1
Cartesian
-2.619 2.102 6.310
-1.309 1.051 3.155
-3.928 3.153 9.465
0.000 0.000 0.000

(5)
TiNi4 PBE-GGA optimized geometry; D(E_F) = 11.41 states/eV/cell; magnetic moment = 0.0 μB per formula unit; ΔH_f (0 K) = -79 meV/atom
1.0
-1.396 -0.951 -4.502
-2.824 -2.545 1.413
-0.668 8.012 -1.485
Ti Ni
2 8
Cartesian
-1.032 3.531 -2.993
0.000 0.000 0.000
-1.792 -0.519 -1.902
-4.371 2.752 -3.076
-0.517 1.765 -1.498
-3.096 5.035 -2.671
-3.461 0.554 -4.179
-4.038 -1.255 -2.336
-1.427 3.963 -0.394
-0.850 5.771 -2.238

(6)
RbTl2GeO4 PBE-GGA optimized geometry; formation energy from raw total energies = -116 kJ per mole of atoms; D(E_F) = 3.25 states/eV/cell; magnetic moment = 0.8 μB per formula unit
1.0
6.185 -0.015 -0.089
-0.015 5.981 -0.066
-3.142 -3.019 4.384
O Ge Tl Rb
4 1 2 1
Cartesian
2.429 4.589 1.488
1.488 1.999 2.384
-2.286 3.132 3.623
3.903 2.133 0.729
2.978 2.956 2.001
0.051 2.997 4.110
0.228 -0.057 1.834
-2.926 0.008 4.107

(7)
TcNiOs PBE-GGA optimized geometry; D(E_F) = 4.23 states/eV/cell; magnetic moment = 0.0 μB per formula unit; ΔH_f (0 K) = 120 meV/atom
1.0
-0.264 -2.708 5.207
3.348 -1.747 4.500
-1.820 3.903 -3.996
Ni Tc Os
1 1 1
Cartesian
3.083 -4.453 9.704
2.053 -2.965 6.462
1.032 -1.491 3.249

(8)
Pr3NdHo3Se8 PBE-GGA optimized geometry; formation energy from raw total energies = -178 kJ per mole of atoms; D(E_F) = 6.68 states/eV/cell; magnetic moment = 0.0 μB per formula unit
1.0
-1.011 6.665 4.787
-6.293 -5.232 -1.184
6.513 -2.352 4.650
Ho Se Nd Pr
3 8 1 3
Cartesian
2.751 2.156 4.719
0.110 -3.792 1.733
-0.395 -0.460 4.126
-2.155 1.802 4.175
1.322 1.119 2.461
-2.112 -2.038 5.792
-1.738 -1.603 1.864
-1.631 -5.212 3.513
1.365 -2.722 4.077
0.947 0.683 6.389
0.840 4.293 4.740
3.257 -1.176 2.325
0.000 0.000 0.000
-3.652 0.717 1.801
-3.146 -2.616 -0.592

(9)
KCuP PBE-GGA optimized geometry; D(E_F) = 3.18 states/eV/cell; magnetic moment = 0.0 μB per formula unit; ΔH_f (0 K) = -224 meV/atom
1.0
4.168 0.000 0.000
2.084 6.060 -1.211
2.084 -1.031 14.308
Cu K P
5 5 5
Cartesian
4.168 1.801 13.475
4.168 -0.051 11.503
6.252 3.476 7.577
2.084 1.575 5.539
4.168 4.910 1.415
4.168 0.636 8.324
4.168 4.409 4.714
2.084 2.206 2.336
6.252 2.774 10.803
4.168 0.029 0.020
4.168 1.087 5.036
2.084 -0.573 10.951
4.168 3.351 -0.271
4.168 3.957 8.064
6.252 5.613 2.192

(10)
Pm5Hg2Sb PBE-GGA optimized geometry; formation energy from raw total energies = -52 kJ per mole of atoms; D(E_F) = 12.52 states/eV/cell; magnetic moment = 0.0 μB per formula unit
1.0
-5.955 -6.047 -1.270
5.537 -6.005 2.629
-1.871 6.789 5.442
Pm Sb Hg
10 2 4
Cartesian
-0.478 -2.473 5.012
-1.811 -2.791 1.789
-0.209 -6.026 0.680
-3.739 -6.952 1.652
2.086 -4.647 3.344
-4.375 -0.616 3.457
0.000 0.000 0.000
1.451 1.688 5.149
-2.446 3.545 3.594
0.158 -8.809 3.207
-1.040 0.381 3.061
-1.249 -5.645 3.740
-1.588 -9.044 0.587
-3.035 -4.700 -0.446
1.170 -3.008 0.772
2.618 -7.352 1.805

(11)
LaVCdRu2 PBE-GGA optimized geometry; D(E_F) = 6.52 states/eV/cell; magnetic moment = 0.0 μB per formula unit; ΔH_f (0 K) = 692 meV/atom
1.0
4.599 0.000 0.000
0.000 5.107 0.000
0.000 0.000 4.599
La Ru V Cd
1 2 1 1
Cartesian
0.000 2.553 0.000
0.000 0.000 2.300
2.300 0.000 0.000
0.000 0.000 0.000
2.300 2.553 2.300

(12)
ZrIr2Rh PBE-GGA optimized geometry; D(E_F) = 3.60 states/eV/cell; magnetic moment = 0.0 μB per formula unit; ΔH_f (0 K) = -548 meV/atom
1.0
4.881 0.006 0.001
1.606 4.609 -0.001
-3.245 -2.306 2.825
Ir Zr Rh
2 1 1
Cartesian
0.000 0.000 0.000
2.440 0.004 1.413
0.803 2.305 1.412
3.243 2.307 0.000

(13)
LiTlOs3 PBE-GGA optimized geometry; D(E_F) = 6.71 states/eV/cell; magnetic moment = 1.7 μB per formula unit; ΔH_f (0 K) = 1613 meV/atom
1.0
-1.307 1.317 3.818
-3.768 -1.843 -0.654
1.455 -3.590 1.737
Os Tl Li
3 1 1
Cartesian
0.727 -1.795 0.868
-0.653 0.659 1.909
-1.884 -0.922 -0.327
-1.810 -2.058 2.450
0.000 0.000 0.000

(14)
NdEr3Tm2Te6 PBE-GGA optimized geometry; formation energy from raw total energies = -119 kJ per mole of atoms; D(E_F) = 6.67 states/eV/cell; magnetic moment = 0.0 μB per formula unit
1.0
-1.313 3.136 2.627
0.736 -5.432 6.854
9.250 2.292 -1.629
Te Er Tm Nd
6 3 2 1
Cartesian
2.676 -0.318 5.231
0.239 -1.401 1.792
2.403 2.412 1.835
8.434 1.397 6.060
6.270 -2.415 6.016
5.998 0.315 2.621
5.335 3.324 2.211
3.338 -3.327 5.640
-0.288 -1.148 4.740
3.051 -0.549 2.180
5.622 0.546 5.671
-0.656 1.568 1.313

(15)
InTcNi2N PBE-GGA optimized geometry; formation energy from raw total energies = -4 kJ per mole of atoms; D(E_F) = 1.81 states/eV/cell; magnetic moment = 0.0 μB per formula unit
1.0
3.964 0.000 0.000
0.000 3.964 0.000
0.000 0.000 3.995
In N Tc Ni
1 1 1 2
Cartesian
1.982 1.982 1.997
0.000 0.000 0.000
0.000 0.000 1.997
0.000 1.982 0.000
1.982 0.000 0.000

(16)
BaGePd4 PBE-GGA optimized geometry; D(E_F) = 6.46 states/eV/cell; magnetic moment = 0.0 μB per formula unit; ΔH_f (0 K) = -487 meV/atom
1.0
6.032 0.098 2.028
1.259 6.534 1.687
0.229 0.098 6.360
Pd Ba Ge
8 2 2
Cartesian
4.318 0.098 3.307
4.066 2.916 3.100
3.455 3.814 6.974
5.704 3.814 5.295
2.079 4.963 2.785
1.817 2.916 4.780
1.943 0.098 5.080
5.441 1.767 7.289
1.324 1.453 1.774
6.197 5.277 8.301
3.566 4.999 4.777
3.955 1.730 5.297

(17)
ReIrAu2 PBE-GGA optimized geometry; D(E_F) = 4.39 states/eV/cell; magnetic moment = 0.0 μB per formula unit; ΔH_f (0 K) = 433 meV/atom
1.0
-2.043 2.556 3.698
-3.121 -0.049 3.826
3.147 -1.126 3.561
Au Re Ir
2 1 1
Cartesian
-0.983 0.679 5.529
3.121 -1.114 3.575
-1.513 1.036 8.314
-0.504 0.345 2.771

(18)
Cs3BaRe PBE-GGA optimized geometry; D(E_F) = 8.22 states/eV/cell; magnetic moment = 0.0 μB per formula unit; ΔH_f (0 K) = 1508 meV/atom
1.0
6.540 0.000 0.000
0.000 6.540 0.000
0.000 0.000 6.540
Cs Ba Re
3 1 1
Cartesian
0.000 0.000 3.270
3.270 0.000 0.000
0.000 3.270 0.000
3.270 3.270 3.270
0.000 0.000 0.000

(19)
Zr2NO PBE-GGA optimized geometry; formation energy from raw total energies = -139 kJ per mole of atoms; D(E_F) = 1.01 states/eV/cell; magnetic moment = 0.0 μB per formula unit
1.0
3.964 -0.593 0.511
1.316 -3.274 1.970
1.878 -2.954 -2.019
Zr N O
2 1 1
Cartesian
1.790 -1.705 0.115
5.369 -5.115 0.346
0.000 0.000 0.000
3.579 -3.410 0.231

(20)
LiSb2 PBE-GGA optimized geometry; formation energy from raw total energies = -4 kJ per mole of atoms; D(E_F) = 1.43 states/eV/cell; magnetic moment = 0.0 μB per formula unit
1.0
-1.176 -3.002 0.394
1.080 0.952 -2.911
7.340 -2.630 1.863
Sb Li
2 1
Cartesian
5.507 -2.222 -0.495
1.737 -2.458 -0.160
0.000 0.000 0.000